## SrCaCd17 (PBE-GGA)

Data for a relaxed SrCaCd17 crystal.

extended XYZ file:
```
19
Lattice="5.126 2.959 5.015 -5.126 2.959 5.015 0.000 -5.918 5.015" Properties=species:S:1:pos:R:3 pbc="T T T"
Sr 0.000 0.000 0.000
Ca 0.000 0.000 4.946
Cd 0.000 -2.681 2.708
Cd -2.322 1.341 2.708
Cd -2.688 -1.552 7.518
Cd 0.000 -2.921 7.166
Cd -2.529 1.460 7.166
Cd -1.517 -2.668 9.977
Cd -3.070 0.020 9.977
Cd 2.322 1.341 2.708
Cd 0.000 0.000 8.372
Cd 1.517 -2.668 9.977
Cd -1.552 2.648 9.977
Cd 2.688 -1.552 7.518
Cd 0.000 3.103 7.518
Cd 0.000 0.000 11.430
Cd 2.529 1.460 7.166
Cd 3.070 0.020 9.977
Cd 1.552 2.648 9.977
```

D(E_F)	0.317	states/eV per atom
formation energy	-0.15	eV per atom
crystal system	trigonal
E	-1.16	eV/atom
V	456.4	Å³/f.u.

***

## La5Rh (PBE-GGA)

Data for a relaxed La5Rh crystal.

extended XYZ file:
```
6
Lattice="6.297 0.000 0.000 -3.149 5.454 0.000 0.000 0.000 5.296" Properties=species:S:1:pos:R:3 pbc="T T T"
La -2.234 3.869 0.000
La 0.915 1.584 0.000
La 0.000 3.636 2.648
La 3.149 1.818 2.648
La 4.468 0.000 0.000
Rh 0.000 0.000 2.648
```

D(E_F)	0.997	states/eV per atom
formation energy	-0.05	eV per atom
energy above the lowest structure with this stoichiometry	0.184	eV/atom
crystal system	hexagonal
E	-5.38	eV/atom
V	181.9	Å³/f.u.